Entry 1:
Computed, not measured: crystalline Zr2Pd8Au3 at its relaxed geometry at the GGA-PBE level of DFT.

Lattice parameters (Å, degrees): 10.523 10.523 10.523 28.65 28.65 28.65
Sites, in units of the cell vectors:
Zr 0.135 0.135 0.135
Zr 0.865 0.865 0.865
Pd 0.221 0.221 0.221
Pd 0.231 0.231 0.727
Pd 0.231 0.727 0.231
Pd 0.273 0.769 0.769
Pd 0.727 0.231 0.231
Pd 0.769 0.273 0.769
Pd 0.769 0.769 0.273
Pd 0.779 0.779 0.779
Au 0.314 0.314 0.314
Au 0.500 0.500 0.500
Au 0.686 0.686 0.686

Output
SG   R-3m
Formation enthalpy at 0 K   -173.9 meV per atom
Uncorrected energy   -5.44 eV per atom
Total magnetic moment   0.00 μB/cell

***

Entry 2:
Computed, not measured: crystalline BaAcTlAu at its relaxed geometry at the GGA-PBE level of DFT.

Lattice parameters (Å, degrees): 8.164 8.164 8.164 90.00 90.00 90.00
Sites, in units of the cell vectors:
Ba 0.000 0.000 0.000
Ba 0.000 0.500 0.500
Ba 0.500 0.000 0.500
Ba 0.500 0.500 0.000
Ac 0.000 0.000 0.500
Ac 0.000 0.500 0.000
Ac 0.500 0.000 0.000
Ac 0.500 0.500 0.500
Tl 0.250 0.250 0.250
Tl 0.250 0.750 0.750
Tl 0.750 0.250 0.750
Tl 0.750 0.750 0.250
Au 0.250 0.250 0.750
Au 0.250 0.750 0.250
Au 0.750 0.250 0.250
Au 0.750 0.750 0.750

Output
SG   F-43m
Formation enthalpy at 0 K   -499.3 meV per atom
Uncorrected energy   -3.42 eV per atom
Total magnetic moment   0.00 μB/cell

***

Entry 3:
Computed, not measured: crystalline CaTl2In at its relaxed geometry at the GGA-PBE level of DFT.

Lattice parameters (Å, degrees): 3.695 3.695 30.612 90.00 90.00 120.00
Sites, in units of the cell vectors:
Ca 0.000 0.000 0.000
Ca 0.333 0.667 0.667
Ca 0.667 0.333 0.333
Tl 0.000 0.000 0.250
Tl 0.000 0.000 0.750
Tl 0.333 0.667 0.417
Tl 0.333 0.667 0.916
Tl 0.667 0.333 0.084
Tl 0.667 0.333 0.583
In 0.000 0.000 0.500
In 0.333 0.667 0.167
In 0.667 0.333 0.833

Output
SG   R-3m
Formation enthalpy at 0 K   -97.0 meV per atom
Uncorrected energy   -2.47 eV per atom
Total magnetic moment   0.00 μB/cell

***

Entry 4:
Computed, not measured: crystalline SrAg2Ir2 at its relaxed geometry at the GGA-PBE level of DFT.

Lattice parameters (Å, degrees): 4.544 4.544 10.561 90.00 90.00 90.00
Sites, in units of the cell vectors:
Sr 0.000 0.000 0.000
Sr 0.500 0.500 0.500
Ag 0.000 0.500 0.250
Ag 0.000 0.500 0.750
Ag 0.500 0.000 0.250
Ag 0.500 0.000 0.750
Ir 0.000 0.000 0.389
Ir 0.000 0.000 0.611
Ir 0.500 0.500 0.111
Ir 0.500 0.500 0.889

Output
SG   I4/mmm
Formation enthalpy at 0 K   249.0 meV per atom
Uncorrected energy   -4.77 eV per atom
Total magnetic moment   0.00 μB/cell

***

> Which formula does entry 1 have?

Zr2Pd8Au3

***

> Which of these has the highest uncorrected energy?

CaTl2In

***

> The highest formation enthalpy at 0 K belongs to which entry?

SrAg2Ir2